Below is PPt2W after structural relaxation, with properties calculated at the GGA-PBEsol level.

Computed properties:
Crystal system ... tetragonal
E ... -34.21 eV/f.u.
Magnetic moment ... 0.000 μB per formula unit
Energy of formation from the pure elements ... -0.1708 eV per atom
Space-group type ... P4mm

The structure in POSCAR format:
```
PPt2W
1.0
2.9321 0.0000 0.0000
0.0000 2.9321 0.0000
0.0000 0.0000 6.7125
P Pt W
1 2 1
Cartesian
0.0000 0.0000 0.0000 P
0.0000 0.0000 3.5595 Pt
1.4661 1.4661 1.5017 Pt
1.4661 1.4661 5.3508 W
```

---

Below is LaMoSe2 after structural relaxation, with properties calculated at the GGA-PBEsol level.

Computed properties:
Crystal system ... cubic
E ... -27.53 eV/f.u.
Magnetic moment ... 1.032 μB per formula unit
Relative energy among the computed polymorphs ... 0.000 eV/atom
Space-group type ... Fm-3m

The structure in POSCAR format:
```
LaMoSe2
1.0
0.0000 3.4098 3.4098
3.4098 0.0000 3.4098
3.4098 3.4098 0.0000
La Mo Se
1 1 2
Cartesian
0.0000 0.0000 0.0000 La
3.4098 3.4098 3.4098 Mo
1.7049 1.7049 1.7049 Se
5.1147 5.1147 5.1147 Se
```

---

Below is Hf2ZrTcPb after structural relaxation, with properties calculated at the GGA-PBEsol level.

Computed properties:
Crystal system ... tetragonal
E ... -42.26 eV/f.u.
Magnetic moment ... 0.000 μB per formula unit
Energy of formation from the pure elements ... 0.6201 eV per atom
Space-group type ... P4/mmm

The structure in POSCAR format:
```
Hf2ZrTcPb
1.0
4.8553 0.0000 0.0000
0.0000 4.8553 0.0000
0.0000 0.0000 5.1456
Hf Zr Tc Pb
2 1 1 1
Cartesian
0.0000 2.4277 0.0000 Hf
2.4277 0.0000 0.0000 Hf
0.0000 0.0000 2.5728 Zr
2.4277 2.4277 0.0000 Tc
2.4277 2.4277 2.5728 Pb
```

---

Below is Y5Mg4 after structural relaxation, with properties calculated at the GGA-PBEsol level.

Computed properties:
Crystal system ... hexagonal
E ... -40.94 eV/f.u.
Magnetic moment ... 0.004 μB per formula unit
Energy of formation from the pure elements ... 0.0049 eV per atom
Space-group type ... P6_3/mcm

The structure in POSCAR format:
```
Y5Mg4
1.0
9.2988 0.0000 0.0000
-4.6494 8.0530 0.0000
0.0000 0.0000 6.6389
Y Mg
10 8
Cartesian
-1.4993 2.5969 1.6597 Y
-3.1501 5.4561 4.9792 Y
2.9986 0.0000 1.6597 Y
1.4993 2.5969 4.9792 Y
0.0000 5.3687 0.0000 Y
0.0000 5.3687 3.3195 Y
4.6494 2.6843 0.0000 Y
4.6494 2.6843 3.3195 Y
6.3002 0.0000 4.9792 Y
3.1501 5.4561 1.6597 Y
0.0000 0.0000 0.0000 Mg
0.0000 0.0000 3.3195 Mg
-1.5883 2.7510 4.9792 Mg
-3.0611 5.3020 1.6597 Mg
3.1766 0.0000 4.9792 Mg
1.5883 2.7510 1.6597 Mg
6.1222 0.0000 1.6597 Mg
3.0611 5.3020 4.9792 Mg
```

---

Below is MnHgPt after structural relaxation, with properties calculated at the GGA-PBEsol level.

Computed properties:
Crystal system ... trigonal
E ... -17.01 eV/f.u.
Magnetic moment ... 4.108 μB per formula unit
Energy of formation from the pure elements ... 0.0927 eV per atom
Relative energy among the computed polymorphs ... 0.107 eV/atom
Space-group type ... P3m1

The structure in POSCAR format:
```
MnHgPt
1.0
4.4426 0.0000 0.0000
-2.2213 3.8474 0.0000
0.0000 0.0000 2.8531
Mn Hg Pt
1 1 1
Cartesian
0.0000 0.0000 0.0000 Mn
0.0000 2.5649 1.7974 Hg
2.2213 1.2825 0.6419 Pt
```

---

Below is CaBe2Ge2 after structural relaxation, with properties calculated at the GGA-PBEsol level.

Computed properties:
Crystal system ... tetragonal
E ... -21.58 eV/f.u.
Magnetic moment ... 0.000 μB per formula unit
Energy of formation from the pure elements ... -0.3129 eV per atom
Relative energy among the computed polymorphs ... 0.000 eV/atom
Space-group type ... P4/nmm

The structure in POSCAR format:
```
CaBe2Ge2
1.0
3.9843 0.0000 0.0000
0.0000 3.9843 0.0000
0.0000 0.0000 9.7598
Ca Be Ge
2 4 4
Cartesian
0.9961 0.9961 2.4023 Ca
2.9882 2.9882 7.3575 Ca
0.9961 0.9961 6.2004 Be
0.9961 2.9882 0.0000 Be
2.9882 0.9961 0.0000 Be
2.9882 2.9882 3.5594 Be
0.9961 0.9961 8.4659 Ge
0.9961 2.9882 4.8799 Ge
2.9882 0.9961 4.8799 Ge
2.9882 2.9882 1.2939 Ge
```

---

Below is OsPtC3 after structural relaxation, with properties calculated at the GGA-PBEsol level.

Computed properties:
Crystal system ... cubic
E ... -37.36 eV/f.u.
Magnetic moment ... 0.000 μB per formula unit
Energy of formation from the pure elements ... 2.1503 eV per atom
Relative energy among the computed polymorphs ... 0.000 eV/atom
Space-group type ... Pm-3m

The structure in POSCAR format:
```
OsPtC3
1.0
3.9467 0.0000 0.0000
0.0000 3.9467 0.0000
0.0000 0.0000 3.9467
Os Pt C
1 1 3
Cartesian
0.0000 0.0000 0.0000 Os
1.9733 1.9733 1.9733 Pt
0.0000 0.0000 1.9733 C
0.0000 1.9733 0.0000 C
1.9733 0.0000 0.0000 C
```

---

Below is Zn3CuP2O9 after structural relaxation, with properties calculated at the GGA-PBEsol level.

Computed properties:
Crystal system ... monoclinic
E ... -93.43 eV/f.u.
Magnetic moment ... 0.998 μB per formula unit
Space-group type ... C2/m

The structure in POSCAR format:
```
Zn3CuP2O9
1.0
4.9043 -4.0018 0.0000
4.9043 4.0018 0.0000
-4.7558 0.0000 8.4535
Zn Cu P O
6 2 4 18
Cartesian
1.6060 2.4372 5.6479 Zn
3.4468 2.4372 2.8056 Zn
1.5534 0.0000 3.2868 Zn
3.4993 0.0000 5.1667 Zn
1.6060 -2.4372 5.6479 Zn
3.4468 -2.4372 2.8056 Zn
4.9043 1.5131 0.0000 Cu
4.9043 -1.5131 0.0000 Cu
1.9739 0.0000 0.0041 P
-0.5224 0.0000 5.4369 P
5.5751 0.0000 3.0165 P
3.0789 0.0000 8.4494 P
3.5015 2.7319 0.7205 O
-2.0428 0.0000 5.6786 O
-0.3296 0.0000 3.8533 O
0.0686 1.2840 6.0182 O
1.4674 0.0000 1.4289 O
1.5513 2.7319 7.7330 O
2.5264 1.4322 4.2267 O
-1.2110 0.0000 8.3974 O
4.9842 1.2840 2.4353 O
0.0686 -1.2840 6.0182 O
6.2638 0.0000 0.0561 O
2.5264 -1.4322 4.2267 O
3.5015 -2.7319 0.7205 O
3.5854 0.0000 7.0246 O
4.9842 -1.2840 2.4353 O
5.3824 0.0000 4.6002 O
7.0956 0.0000 2.7748 O
1.5513 -2.7319 7.7330 O
```

---

Below is TaTlMo2 after structural relaxation, with properties calculated at the GGA-PBEsol level.

Computed properties:
Crystal system ... orthorhombic
E ... -37.40 eV/f.u.
Magnetic moment ... 0.000 μB per formula unit
Energy of formation from the pure elements ... 0.3298 eV per atom
Relative energy among the computed polymorphs ... 0.001 eV/atom
Space-group type ... Cmmm

The structure in POSCAR format:
```
TaTlMo2
1.0
1.6273 -2.3921 0.0000
1.6273 2.3921 0.0000
0.0000 0.0000 9.0385
Ta Tl Mo
1 1 2
Cartesian
0.0000 0.0000 0.0000 Ta
0.0000 0.0000 4.5193 Tl
1.6273 0.0000 2.1180 Mo
1.6273 0.0000 6.9205 Mo
```

---

Below is Ba3MnTc after structural relaxation, with properties calculated at the GGA-PBEsol level.

Computed properties:
Crystal system ... cubic
E ... -20.48 eV/f.u.
Magnetic moment ... 5.566 μB per formula unit
Energy of formation from the pure elements ... 1.3995 eV per atom
Space-group type ... Pm-3m

The structure in POSCAR format:
```
Ba3MnTc
1.0
5.7458 0.0000 0.0000
0.0000 5.7458 0.0000
0.0000 0.0000 5.7458
Ba Mn Tc
3 1 1
Cartesian
0.0000 0.0000 2.8729 Ba
0.0000 2.8729 0.0000 Ba
2.8729 0.0000 0.0000 Ba
0.0000 0.0000 0.0000 Mn
2.8729 2.8729 2.8729 Tc
```

---

The highest magnetic moment belongs to which entry?
Ba3MnTc

---

E of number 10 (Ba3MnTc)?
-20.48 eV/f.u.

---

Look up the magnetic moment of the tenth one.
5.566 μB per formula unit

---

Which of these has the highest magnetic moment?
Ba3MnTc